No. 1
{
  "formula": "BaP3",
  "functional": "PBE",
  "state": "relaxed",
  "lattice_angstrom": [[3.833, 0.024, 0.000], [-0.839, 3.740, 0.000], [0.000, 0.000, 6.287]],
  "species": ["Ba", "P", "P", "P"],
  "fractional_positions": [[0.000, 0.000, 0.000], [0.500, 0.500, 0.670], [0.000, 0.000, 0.500], [0.500, 0.500, 0.330]],
  "spacegroup": "Cmmm",
  "dft_energy_ev_per_cell": -18.32,
  "ef_ev_per_atom": -0.04
}

---

No. 2
{
  "formula": "BaP",
  "functional": "PBE",
  "state": "relaxed",
  "lattice_angstrom": [[8.977, 0.000, 0.000], [0.000, 17.896, 0.000], [0.000, 0.000, 8.257]],
  "species": ["Ba", "Ba", "Ba", "Ba", "Ba", "Ba", "Ba", "Ba", "Ba", "Ba", "Ba", "Ba", "Ba", "Ba", "Ba", "Ba", "P", "P", "P", "P", "P", "P", "P", "P", "P", "P", "P", "P", "P", "P", "P", "P"],
  "fractional_positions": [[0.000, 0.000, 0.247], [0.000, 0.000, 0.753], [0.250, 0.750, 0.003], [0.250, 0.750, 0.497], [0.000, 0.500, 0.747], [0.000, 0.500, 0.253], [0.250, 0.250, 0.503], [0.250, 0.250, 0.997], [0.500, 0.000, 0.747], [0.500, 0.000, 0.253], [0.750, 0.750, 0.503], [0.750, 0.750, 0.997], [0.500, 0.500, 0.247], [0.500, 0.500, 0.753], [0.750, 0.250, 0.003], [0.750, 0.250, 0.497], [0.000, 0.373, 0.000], [0.000, 0.627, 0.000], [0.250, 0.377, 0.250], [0.250, 0.123, 0.250], [0.000, 0.873, 0.500], [0.000, 0.127, 0.500], [0.250, 0.877, 0.750], [0.250, 0.623, 0.750], [0.500, 0.373, 0.500], [0.500, 0.627, 0.500], [0.750, 0.377, 0.750], [0.750, 0.123, 0.750], [0.500, 0.873, 0.000], [0.500, 0.127, 0.000], [0.750, 0.877, 0.250], [0.750, 0.623, 0.250]],
  "spacegroup": "Fddd",
  "dft_energy_ev_per_cell": -130.08,
  "ef_ev_per_atom": -0.40
}

---

No. 3
{
  "formula": "BaP3",
  "functional": "PBE",
  "state": "relaxed",
  "lattice_angstrom": [[-4.727, 0.442, 6.103], [-1.599, -1.983, -7.301], [0.829, -4.137, 0.942]],
  "species": ["Ba", "Ba", "P", "P", "P", "P", "P", "P"],
  "fractional_positions": [[0.668, 0.332, 0.250], [0.332, 0.668, 0.750], [0.153, 0.847, 0.250], [0.847, 0.153, 0.750], [0.058, 0.258, 0.250], [0.942, 0.742, 0.750], [0.258, 0.058, 0.750], [0.742, 0.942, 0.250]],
  "spacegroup": "Cmcm",
  "dft_energy_ev_per_cell": -38.84,
  "ef_ev_per_atom": -0.32
}

---

No. 4
{
  "formula": "BaPa2P4Pd",
  "functional": "PBE",
  "state": "relaxed",
  "lattice_angstrom": [[4.120, 0.000, 0.000], [-2.060, 6.841, 0.000], [0.000, 0.000, 13.665]],
  "species": ["Ba", "Ba", "Pa", "Pa", "Pa", "Pa", "P", "P", "P", "P", "P", "P", "P", "P", "Pd", "Pd"],
  "fractional_positions": [[0.108, 0.217, 0.750], [0.892, 0.783, 0.250], [0.367, 0.734, 0.561], [0.633, 0.266, 0.061], [0.633, 0.266, 0.439], [0.367, 0.734, 0.939], [0.261, 0.521, 0.106], [0.739, 0.479, 0.606], [0.739, 0.479, 0.894], [0.261, 0.521, 0.394], [0.000, 0.000, 0.500], [0.000, 0.000, 0.000], [0.431, 0.863, 0.750], [0.569, 0.137, 0.250], [0.839, 0.679, 0.750], [0.161, 0.321, 0.250]],
  "spacegroup": "Cmcm",
  "dft_energy_ev_per_cell": -113.42,
  "ef_ev_per_atom": -1.12
}

---

No. 5
{
  "formula": "Ba2PmPaP4",
  "functional": "PBE",
  "state": "relaxed",
  "lattice_angstrom": [[4.283, 0.000, 0.000], [0.000, 7.353, 0.117], [0.000, -2.582, 7.279]],
  "species": ["Ba", "Ba", "Pm", "Pa", "P", "P", "P", "P"],
  "fractional_positions": [[0.500, 0.000, 0.500], [0.000, 0.500, 0.500], [0.500, 0.500, 0.000], [0.000, 0.000, 0.000], [0.500, 0.221, 0.201], [0.500, 0.779, 0.799], [0.000, 0.248, 0.794], [0.000, 0.752, 0.206]],
  "spacegroup": "P2/m",
  "dft_energy_ev_per_cell": -49.59,
  "ef_ev_per_atom": -1.23
}

---

No. 6
{
  "formula": "Ba3Pm2PaP6",
  "functional": "PBE",
  "state": "relaxed",
  "lattice_angstrom": [[-2.585, 5.905, 3.698], [-3.651, -6.466, 0.301], [6.009, -1.757, 4.511]],
  "species": ["Ba", "Ba", "Ba", "Pm", "Pm", "Pa", "P", "P", "P", "P", "P", "P"],
  "fractional_positions": [[0.170, 0.830, 0.500], [0.830, 0.170, 0.500], [0.500, 0.500, 0.500], [0.334, 0.666, 0.000], [0.666, 0.334, 0.000], [0.000, 0.000, 0.000], [0.932, 0.613, 0.794], [0.752, 0.752, 0.207], [0.068, 0.387, 0.206], [0.613, 0.932, 0.794], [0.248, 0.248, 0.793], [0.387, 0.068, 0.206]],
  "spacegroup": "C2/m",
  "dft_energy_ev_per_cell": -71.50,
  "ef_ev_per_atom": -1.19
}

---

No. 7
{
  "formula": "Ba3Pr2PaP6",
  "functional": "PBE",
  "state": "relaxed",
  "lattice_angstrom": [[-1.771, 5.890, -4.275], [-5.330, -3.543, 3.892], [3.547, 3.690, 5.808]],
  "species": ["Ba", "Ba", "Ba", "Pr", "Pr", "Pa", "P", "P", "P", "P", "P", "P"],
  "fractional_positions": [[0.170, 0.830, 0.500], [0.830, 0.170, 0.500], [0.500, 0.500, 0.500], [0.334, 0.666, 0.000], [0.666, 0.334, 0.000], [0.000, 0.000, 0.000], [0.931, 0.616, 0.792], [0.756, 0.756, 0.209], [0.069, 0.384, 0.208], [0.616, 0.931, 0.792], [0.244, 0.244, 0.791], [0.384, 0.069, 0.208]],
  "spacegroup": "C2/m",
  "dft_energy_ev_per_cell": -71.43,
  "ef_ev_per_atom": -1.18
}

---

No. 8
{
  "formula": "BaPa2P4Pt",
  "functional": "PBE",
  "state": "relaxed",
  "lattice_angstrom": [[-0.441, 3.984, -0.821], [-5.002, -1.652, 4.861], [8.725, 3.028, 10.007]],
  "species": ["Ba", "Ba", "Pa", "Pa", "Pa", "Pa", "P", "P", "P", "P", "P", "P", "P", "P", "Pt", "Pt"],
  "fractional_positions": [[0.107, 0.214, 0.750], [0.893, 0.786, 0.250], [0.367, 0.734, 0.560], [0.633, 0.266, 0.060], [0.633, 0.266, 0.440], [0.367, 0.734, 0.940], [0.262, 0.524, 0.108], [0.738, 0.476, 0.608], [0.738, 0.476, 0.892], [0.262, 0.524, 0.392], [0.000, 0.000, 0.500], [0.000, 0.000, 0.000], [0.430, 0.861, 0.750], [0.570, 0.139, 0.250], [0.839, 0.679, 0.750], [0.161, 0.321, 0.250]],
  "spacegroup": "Cmcm",
  "dft_energy_ev_per_cell": -115.67,
  "ef_ev_per_atom": -1.16
}

---

No. 9
{
  "formula": "BaPaP2Pt2",
  "functional": "PBE",
  "state": "relaxed",
  "lattice_angstrom": [[4.205, 0.000, 0.000], [-2.102, 3.641, 0.000], [0.000, 0.000, 8.611]],
  "species": ["Ba", "Pa", "P", "P", "Pt", "Pt"],
  "fractional_positions": [[0.000, 0.000, 0.000], [0.000, 0.000, 0.500], [0.667, 0.333, 0.269], [0.333, 0.667, 0.731], [0.667, 0.333, 0.698], [0.333, 0.667, 0.302]],
  "spacegroup": "P-3m1",
  "dft_energy_ev_per_cell": -41.09,
  "ef_ev_per_atom": -1.13
}

---

No. 10
{
  "formula": "Ba2PaP3Rh12",
  "functional": "PBE",
  "state": "relaxed",
  "lattice_angstrom": [[7.582, -0.418, -0.296], [3.381, 6.799, -0.296], [3.381, 1.968, 6.515]],
  "species": ["Ba", "Ba", "Pa", "P", "P", "P", "Rh", "Rh", "Rh", "Rh", "Rh", "Rh", "Rh", "Rh", "Rh", "Rh", "Rh", "Rh"],
  "fractional_positions": [[0.601, 0.601, 0.601], [0.399, 0.399, 0.399], [0.000, 0.000, 0.000], [0.500, 0.000, 0.000], [0.000, 0.500, 0.000], [0.000, 0.000, 0.500], [0.326, 0.326, 0.919], [0.870, 0.870, 0.377], [0.377, 0.870, 0.870], [0.919, 0.326, 0.326], [0.870, 0.377, 0.870], [0.326, 0.919, 0.326], [0.674, 0.674, 0.081], [0.130, 0.130, 0.623], [0.623, 0.130, 0.130], [0.081, 0.674, 0.674], [0.130, 0.623, 0.130], [0.674, 0.081, 0.674]],
  "spacegroup": "R-3m",
  "dft_energy_ev_per_cell": -122.24,
  "ef_ev_per_atom": -0.25
}

---

No. 11
{
  "formula": "BaPaP2S8",
  "functional": "PBE",
  "state": "relaxed",
  "lattice_angstrom": [[-3.660, 2.368, 4.337], [0.436, -6.098, -0.662], [6.976, -0.149, 5.968]],
  "species": ["Ba", "Pa", "P", "P", "S", "S", "S", "S", "S", "S", "S", "S"],
  "fractional_positions": [[0.000, 0.000, 0.000], [0.000, 0.000, 0.500], [0.667, 0.333, 0.243], [0.333, 0.667, 0.757], [0.333, 0.667, 0.975], [0.347, 0.340, 0.314], [0.660, 0.007, 0.314], [0.667, 0.333, 0.025], [0.340, 0.993, 0.686], [0.653, 0.660, 0.686], [0.007, 0.347, 0.686], [0.993, 0.653, 0.314]],
  "spacegroup": "P-3",
  "dft_energy_ev_per_cell": -65.46,
  "formation_energy_uncorrected_ev_per_atom": -0.85
}

---

No. 12
{
  "formula": "Ba2SmPaP4",
  "functional": "PBE",
  "state": "relaxed",
  "lattice_angstrom": [[4.276, 0.000, 0.000], [0.000, 7.333, 0.117], [0.000, -2.576, 7.275]],
  "species": ["Ba", "Ba", "Sm", "Pa", "P", "P", "P", "P"],
  "fractional_positions": [[0.500, 0.000, 0.500], [0.000, 0.500, 0.500], [0.500, 0.500, 0.000], [0.000, 0.000, 0.000], [0.500, 0.222, 0.201], [0.500, 0.778, 0.799], [0.000, 0.249, 0.795], [0.000, 0.751, 0.205]],
  "spacegroup": "P2/m",
  "dft_energy_ev_per_cell": -49.57,
  "ef_ev_per_atom": -1.23
}